## 1
The following is a PBE with a Hubbard U calculation of CsFeCuF6 after structural relaxation, from the Alexandria database.

Calculated values
Symmetry: Imma

```
CsFeCuF6
1.0
-3.637 3.772 5.319
3.637 -3.772 5.319
3.637 3.772 -5.319
Cs Fe Cu F
2 2 2 12
Direct
0.368 0.118 0.250 Cs
0.632 0.882 0.750 Cs
0.000 0.500 0.500 Fe
0.500 0.500 0.000 Fe
0.000 0.000 0.500 Cu
0.000 0.500 0.000 Cu
0.066 0.816 0.250 F
0.072 0.428 0.258 F
0.072 0.814 0.644 F
0.312 0.562 0.750 F
0.329 0.186 0.758 F
0.329 0.572 0.144 F
0.671 0.428 0.856 F
0.671 0.814 0.242 F
0.688 0.438 0.250 F
0.928 0.186 0.356 F
0.928 0.572 0.742 F
0.934 0.184 0.750 F
```

---

## 2
The following is a PBE with a Hubbard U calculation of CsFeCuF6 after structural relaxation, from the Alexandria database.

Calculated values
Symmetry: P1

```
CsFeCuF6
1.0
5.368 0.000 0.000
-2.453 4.787 0.000
-0.136 -0.189 6.492
Cs Fe Cu F
1 1 1 6
Direct
0.000 0.000 0.000 Cs
0.653 0.346 0.500 Fe
0.318 0.683 0.500 Cu
0.365 0.022 0.649 F
0.370 0.411 0.329 F
0.590 0.628 0.670 F
0.621 0.065 0.304 F
0.937 0.376 0.694 F
0.977 0.635 0.351 F
```

---

Ranked by calculated energy, most stable first: 1, 2.

---

## 1
The following is a PBE with a Hubbard U calculation of CsMnCuF6 after structural relaxation, from the Alexandria database.

Calculated values
Symmetry: Imma

```
CsMnCuF6
1.0
-3.581 3.893 5.255
3.581 -3.893 5.255
3.581 3.893 -5.255
Cs Mn Cu F
2 2 2 12
Direct
0.371 0.121 0.250 Cs
0.629 0.879 0.750 Cs
0.000 0.500 0.500 Mn
0.500 0.500 0.000 Mn
0.000 0.000 0.500 Cu
0.000 0.500 0.000 Cu
0.064 0.428 0.253 F
0.064 0.811 0.637 F
0.068 0.818 0.250 F
0.324 0.574 0.750 F
0.326 0.189 0.753 F
0.326 0.572 0.137 F
0.674 0.428 0.863 F
0.674 0.811 0.247 F
0.676 0.426 0.250 F
0.932 0.182 0.750 F
0.936 0.189 0.363 F
0.936 0.572 0.747 F
```

---

## 2
The following is a PBE with a Hubbard U calculation of CsMnCuF6 after structural relaxation, from the Alexandria database.

Calculated values
Symmetry: C2

```
CsMnCuF6
1.0
2.871 -4.565 0.000
2.871 4.565 0.000
-0.286 0.000 6.465
Cs Mn Cu F
1 1 1 6
Direct
0.000 0.000 0.000 Cs
0.653 0.347 0.500 Mn
0.319 0.681 0.500 Cu
0.002 0.645 0.340 F
0.355 0.998 0.660 F
0.382 0.403 0.330 F
0.597 0.618 0.670 F
0.644 0.070 0.318 F
0.930 0.356 0.682 F
```

---

Ranked by calculated energy, most stable first: 1, 2.